(1)
## Dy2Al4ZnPt3 (PBE)

Data for crystalline Dy2Al4ZnPt3 at its relaxed geometry.

- DOS(E_F) (states/eV/f.u.) = 5.23
- energy of formation from the pure elements (eV/atom) = -0.9670

a b c (Å): 4.171 4.171 10.691
angles (deg): 90.00 90.00 90.00
Space group P-4m2 (No. 115)
Unique sites:
Dy (0.000, 0.500, 0.247)
Al (0.000, 0.000, 0.000)
Al (0.000, 0.500, 0.634)
Al (0.500, 0.500, 0.000)
Zn (0.000, 0.000, 0.500)
Pt (0.000, 0.500, 0.864)
Pt (0.500, 0.500, 0.500)

(2)
## DyAlZn2Pt4 (PBE)

Data for crystalline DyAlZn2Pt4 at its relaxed geometry.

- DOS(E_F) (states/eV/f.u.) = 2.66
- energy of formation from the pure elements (eV/atom) = -0.8493

a b c (Å): 4.3793 4.3793 24.2270
angles (deg): 90.00 90.00 120.00
Space group R-3m (No. 166, hexagonal axes)
Unique sites:
Dy (0.0000, 0.0000, 0.0000)
Al (0.0000, 0.0000, 0.5000)
Zn (0.0000, 0.0000, 0.2485)
Pt (0.0000, 0.0000, 0.1322)
Pt (0.0000, 0.0000, 0.3982)

(3)
## Dy2PuAl (PBE)

Data for crystalline Dy2PuAl at its relaxed geometry.

- DOS(E_F) (states/eV/f.u.) = 10.69
- energy of formation from the pure elements (eV/atom) = -0.0766

a b c (Å): 4.778 4.778 4.554
angles (deg): 90.00 90.00 90.00
Space group P4/mmm (No. 123)
Unique sites:
Dy (0.000, 0.500, 0.000)
Pu (0.000, 0.000, 0.500)
Al (0.500, 0.500, 0.500)

(4)
## Dy2PuAl9 (PBE)

Data for crystalline Dy2PuAl9 at its relaxed geometry.

- DOS(E_F) (states/eV/f.u.) = 13.04
- energy of formation from the pure elements (eV/atom) = -0.3514

a b c (Å): 5.5332 5.5332 26.4318
angles (deg): 90.00 90.00 120.00
Space group R-3m (No. 166, hexagonal axes)
Unique sites:
Dy (0.0000, 0.0000, 0.1405)
Pu (0.0000, 0.0000, 0.0000)
Al (0.0000, 0.0000, 0.3348)
Al (0.0000, 0.0000, 0.5000)
Al (0.0059, 0.5029, 0.9167)

(5)
## Dy3PuAl8 (PBE)

Data for crystalline Dy3PuAl8 at its relaxed geometry.

- DOS(E_F) (states/eV/f.u.) = 19.34
- energy of formation from the pure elements (eV/atom) = -0.4574

a b c (Å): 5.5503 5.5503 27.2804
angles (deg): 90.00 90.00 120.00
Space group R3m (No. 160, hexagonal axes)
Unique sites:
Dy (0.0000, 0.0000, 0.0000)
Dy (0.0000, 0.0000, 0.1264)
Dy (0.0000, 0.0000, 0.6226)
Pu (0.0000, 0.0000, 0.4997)
Al (0.0000, 0.0000, 0.3124)
Al (0.0000, 0.0000, 0.8125)
Al (0.0007, 0.5003, 0.0619)
Al (0.0009, 0.5005, 0.5627)

(6)
## DyPu2Al9 (PBE)

Data for crystalline DyPu2Al9 at its relaxed geometry.

- DOS(E_F) (states/eV/f.u.) = 15.89
- energy of formation from the pure elements (eV/atom) = -0.2892

a b c (Å): 5.5058 5.5058 26.5633
angles (deg): 90.00 90.00 120.00
Space group R-3m (No. 166, hexagonal axes)
Unique sites:
Dy (0.0000, 0.0000, 0.0000)
Pu (0.0000, 0.0000, 0.1442)
Al (0.0000, 0.0000, 0.3346)
Al (0.0000, 0.0000, 0.5000)
Al (0.0052, 0.5026, 0.9169)